No. 1
4
Lattice="1.345 0.777 10.429 -1.345 0.777 10.429 0.000 -1.553 10.429" Properties=species:S:1:pos:R:3 comment="VOsF2 | the Alexandria database | PBE with a Hubbard U | relaxed" e_above_lowest_polymorph_kj_per_mol_atoms=0.0 pbc="T T T"
V 0.000 0.000 0.000
Os 0.000 0.000 15.643
F 0.000 0.000 11.793
F 0.000 0.000 19.493


No. 2
5
Lattice="4.553 0.000 0.000 0.000 4.553 0.000 0.000 0.000 5.492" Properties=species:S:1:pos:R:3 comment="CrIrCl2F | the Alexandria database | PBE with a Hubbard U | relaxed" energy_ev_per_cell=-22.11 pbc="T T T"
Cr 0.000 0.000 0.000
Ir 0.000 0.000 2.746
Cl 0.000 2.276 2.746
Cl 2.276 0.000 2.746
F 2.276 2.276 0.000